The following is a SCAN calculation of NaMg2Re at its PBEsol-relaxed geometry, from Alexandria.

a b c (Å): 4.7316 4.7316 4.7316
angles (deg): 60.00 60.00 60.00
Last column: nearest neighbours and their distance in Å.
Element x y z (fractional)
Re: 0.5000 0.5000 0.5000  8 Mg 2.90
Mg: 0.2500 0.2500 0.2500  4 Re 2.90, 4 Na 2.90
Mg: 0.7500 0.7500 0.7500  4 Na 2.90, 4 Re 2.90
Na: 0.0000 0.0000 0.0000  8 Mg 2.90

The calculation puts the formation energy at 729 meV per atom. The calculated density comes out at 5.72 g/cm3. The total magnetization comes out at 1.8 Bohr magnetons per cell.

***

The following is a SCAN calculation of NaMg3Re at its PBEsol-relaxed geometry, from Alexandria.

a b c (Å): 4.7010 4.7010 4.7010
angles (deg): 90.00 90.00 90.00
Last column: nearest neighbours and their distance in Å.
Element x y z (fractional)
Re: 0.5000 0.5000 0.5000  12 Mg 3.32
Mg: 0.0000 0.5000 0.0000  2 Na 2.35
Mg: 0.0000 0.0000 0.5000  2 Na 2.35
Mg: 0.5000 0.0000 0.0000  2 Na 2.35
Na: 0.0000 0.0000 0.0000  6 Mg 2.35

The calculation puts the formation energy at 1612 meV per atom. The calculated density comes out at 4.51 g/cm3. The total magnetization comes out at 1.8 Bohr magnetons per cell.

***

The following is a SCAN calculation of NaMg2RuW at its PBEsol-relaxed geometry, from Alexandria.

a b c (Å): 4.5037 5.3204 5.3204
angles (deg): 90.00 90.00 90.00
Last column: nearest neighbours and their distance in Å.
Element x y z (fractional)
Ru: 0.5000 0.0000 0.0000  2 W 2.25
Mg: 0.0000 0.0000 0.5000  2 W 2.66
Mg: 0.0000 0.5000 0.0000  2 W 2.66
W: 0.0000 0.0000 0.0000  2 Ru 2.25
Na: 0.5000 0.5000 0.5000  8 Mg 3.49, 4 Ru 3.76

The calculation puts the formation energy at 1020 meV per atom. The calculated density comes out at 4.64 g/cm3. The total magnetization comes out at 0.0 Bohr magnetons per cell.

***

The following is a SCAN calculation of Na2MgWS at its PBEsol-relaxed geometry, from Alexandria.

a b c (Å): 5.3427 5.5949 5.5949
angles (deg): 90.00 90.00 90.00
Last column: nearest neighbours and their distance in Å.
Element x y z (fractional)
Na: 0.0000 0.0000 0.5000  2 W 2.80
Na: 0.0000 0.5000 0.0000  2 W 2.80
S: 0.5000 0.5000 0.5000  8 Na 3.87, 4 Mg 3.96
Mg: 0.5000 0.0000 0.0000  2 W 2.67
W: 0.0000 0.0000 0.0000  2 Mg 2.67, 4 Na 2.80

The calculated density comes out at 2.84 g/cm3. As for the formation energy from raw total energies: 1.4863 eV/atom. The total magnetization comes out at 5.2 Bohr magnetons per cell.

***

The following is a SCAN calculation of Na2MgSb2 at its PBEsol-relaxed geometry, from Alexandria.

a b c (Å): 5.0248 7.4306 7.4306
angles (deg): 90.00 90.00 90.00
Last column: nearest neighbours and their distance in Å.
Element x y z (fractional)
Sb: 0.0000 0.3621 0.8621  2 Mg 2.88, 1 Sb 2.90
Sb: 0.0000 0.8621 0.6379  2 Mg 2.88, 1 Sb 2.90
Sb: 0.0000 0.6379 0.1379  2 Mg 2.88, 1 Sb 2.90
Sb: 0.0000 0.1379 0.3621  2 Mg 2.88, 1 Sb 2.90
Mg: 0.0000 0.0000 0.0000  4 Sb 2.88
Mg: 0.0000 0.5000 0.5000  4 Sb 2.88
Na: 0.5000 0.1650 0.6650  6 Sb 3.26-3.38, 1 Na 3.47
Na: 0.5000 0.6650 0.8350  6 Sb 3.26-3.38, 1 Na 3.47
Na: 0.5000 0.8350 0.3350  6 Sb 3.26-3.38, 1 Na 3.47
Na: 0.5000 0.3350 0.1650  6 Sb 3.26-3.38, 1 Na 3.47

The calculated density comes out at 3.76 g/cm3. The distance to the lowest polymorph of the same formula comes out at 0.0 meV/atom. As for the formation energy from raw total energies: -0.4047 eV/atom. The total magnetization comes out at 0.0 Bohr magnetons per cell.

***

The following is a SCAN calculation of Na2MgSb2 at its PBEsol-relaxed geometry, from Alexandria.

a b c (Å): 3.1829 9.0076 9.0076
angles (deg): 90.00 90.00 90.00
Last column: nearest neighbours and their distance in Å.
Element x y z (fractional)
Sb: 0.5000 0.1856 0.6856  6 Na 3.01-3.20, 2 Sb 3.18
Sb: 0.5000 0.6856 0.8144  6 Na 3.01-3.20, 2 Sb 3.18
Sb: 0.5000 0.8144 0.3144  6 Na 3.01-3.20, 2 Sb 3.18
Sb: 0.5000 0.3144 0.1856  6 Na 3.01-3.20, 2 Sb 3.18
Mg: 0.0000 0.0000 0.0000  2 Mg 3.18
Mg: 0.0000 0.5000 0.5000  2 Mg 3.18
Na: 0.0000 0.3860 0.8860  3 Na 2.90-3.18, 6 Sb 3.01-3.20
Na: 0.0000 0.8860 0.6140  3 Na 2.90-3.18, 6 Sb 3.01-3.20
Na: 0.0000 0.6140 0.1140  3 Na 2.90-3.18, 6 Sb 3.01-3.20
Na: 0.0000 0.1140 0.3860  3 Na 2.90-3.18, 6 Sb 3.01-3.20

The calculated density comes out at 4.04 g/cm3. The distance to the lowest polymorph of the same formula comes out at 240.0 meV/atom. As for the formation energy from raw total energies: -0.1647 eV/atom. The total magnetization comes out at 0.0 Bohr magnetons per cell.

***

The following is a SCAN calculation of NaMg3Sb at its PBEsol-relaxed geometry, from Alexandria.

a b c (Å): 5.1803 5.1803 5.1803
angles (deg): 90.00 90.00 90.00
Last column: nearest neighbours and their distance in Å.
Element x y z (fractional)
Sb: 0.5000 0.5000 0.5000  12 Mg 3.66
Mg: 0.0000 0.5000 0.0000  2 Na 2.59
Mg: 0.0000 0.0000 0.5000  2 Na 2.59
Mg: 0.5000 0.0000 0.0000  2 Na 2.59
Na: 0.0000 0.0000 0.0000  6 Mg 2.59

The calculated density comes out at 2.60 g/cm3. As for the formation energy from raw total energies: 0.6881 eV/atom. The total magnetization comes out at 0.0 Bohr magnetons per cell.

***

The following is a SCAN calculation of NaMgSb at its PBEsol-relaxed geometry, from Alexandria.

a b c (Å): 4.6107 4.6107 7.6384
angles (deg): 90.00 90.00 90.00
Last column: nearest neighbours and their distance in Å.
Element x y z (fractional)
Sb: 0.0000 0.5000 0.7718  4 Mg 2.89, 1 Na 3.16
Sb: 0.5000 0.0000 0.2282  4 Mg 2.89, 1 Na 3.16
Mg: 0.0000 0.0000 0.0000  4 Sb 2.89
Mg: 0.5000 0.5000 0.0000  4 Sb 2.89
Na: 0.0000 0.5000 0.3577  5 Sb 3.16-3.41
Na: 0.5000 0.0000 0.6423  5 Sb 3.16-3.41

The calculated density comes out at 3.46 g/cm3. As for the formation energy from raw total energies: -0.5839 eV/atom. The total magnetization comes out at 0.0 Bohr magnetons per cell.